Record 1
NaNbZn2Co | PBE | optimized geometry

Values from the calculation:
M_tot in μB per formula unit: 1.3
DFT total energy in hartree per atom: -0.140

Lattice parameters (Å, degrees): 4.7008 4.4690 4.7008 90.00 90.00 90.00
Last column: nearest neighbours and their distance in Å.
Element x y z (fractional)
Na 0.5000 0.5000 0.5000  8 Zn 3.24, 4 Nb 3.32
Nb 0.0000 0.5000 0.0000  2 Co 2.23
Co 0.0000 0.0000 0.0000  2 Nb 2.23, 4 Zn 2.35
Zn 0.0000 0.0000 0.5000  2 Co 2.35
Zn 0.5000 0.0000 0.0000  2 Co 2.35

Record 2
TaOsS2 | PBE | optimized geometry

Values from the calculation:
M_tot in μB per formula unit: 0.0
Polymorph energy (0 for the lowest one) in meV/atom: 283
ΔE_f (raw) in meV per atom: 63
DFT total energy in hartree per atom: -0.286

Lattice parameters (Å, degrees): 5.4496 5.4496 6.4137 64.86 64.86 90.00
Last column: nearest neighbours and their distance in Å.
Element x y z (fractional)
S 0.6436 0.1250 0.2500  2 Os 2.26, 2 Ta 2.38
S 0.1064 0.6250 0.2500  2 Os 2.26, 2 Ta 2.38
S 0.3750 0.3564 0.7500  2 Os 2.26, 2 Ta 2.38
S 0.8750 0.8936 0.7500  2 Os 2.26, 2 Ta 2.38
Os 0.0000 0.0000 0.0000  4 S 2.26
Os 0.7500 0.2500 0.5000  4 S 2.26
Ta 0.5000 0.5000 0.0000  4 S 2.38
Ta 0.2500 0.7500 0.5000  4 S 2.38

Record 3
CaAuCl2 | PBE | optimized geometry

Values from the calculation:
M_tot in μB per formula unit: 0.0
Polymorph energy (0 for the lowest one) in meV/atom: 92
ΔE_f (raw) in meV per atom: -1134
DFT total energy in hartree per atom: -0.124

Lattice parameters (Å, degrees): 6.2395 6.2395 5.4277 76.73 76.73 35.82
Last column: nearest neighbours and their distance in Å.
Element x y z (fractional)
Ca 0.7500 0.7500 0.7500  4 Cl 2.68
Au 0.2500 0.2500 0.2500  2 Cl 2.76
Cl 0.0959 0.0959 0.9422  2 Ca 2.68, 1 Au 2.76
Cl 0.4041 0.4041 0.5578  2 Ca 2.68, 1 Au 2.76

Record 4
AcMg12Pb6 | PBE | optimized geometry

Values from the calculation:
M_tot in μB per formula unit: 0.0
DFT total energy in hartree per atom: -0.088

Lattice parameters (Å, degrees): 8.5697 8.5697 8.5697 106.73 106.73 106.73
Last column: nearest neighbours and their distance in Å.
Element x y z (fractional)
Ac 0.0000 0.0000 0.0000  6 Mg 3.74, 6 Pb 4.19
Mg 0.8923 0.1077 0.5000  4 Pb 2.89-2.98, 1 Mg 2.96
Mg 0.8180 0.5860 0.5860  2 Pb 3.00-3.19, 2 Mg 3.19
Mg 0.5860 0.5860 0.8180  2 Pb 3.00-3.19, 2 Mg 3.19
Mg 0.4140 0.1820 0.4140  2 Pb 3.00-3.19, 2 Mg 3.19
Mg 0.4140 0.4140 0.1820  2 Pb 3.00-3.19, 2 Mg 3.19
Mg 0.1820 0.4140 0.4140  2 Pb 3.00-3.19, 2 Mg 3.19
Mg 0.1077 0.5000 0.8923  4 Pb 2.89-2.98, 1 Mg 2.96
Mg 0.5000 0.8923 0.1077  4 Pb 2.89-2.98, 1 Mg 2.96
Mg 0.1077 0.8923 0.5000  4 Pb 2.89-2.98, 1 Mg 2.96
Mg 0.8923 0.5000 0.1077  4 Pb 2.89-2.98, 1 Mg 2.96
Mg 0.5000 0.1077 0.8923  4 Pb 2.89-2.98, 1 Mg 2.96
Mg 0.5860 0.8180 0.5860  2 Pb 3.00-3.19, 2 Mg 3.19
Pb 0.7592 0.2719 0.2719  6 Mg 2.89-3.19
Pb 0.2719 0.2719 0.7592  6 Mg 2.89-3.19
Pb 0.2719 0.7592 0.2719  6 Mg 2.89-3.19
Pb 0.7281 0.7281 0.2408  6 Mg 2.89-3.19
Pb 0.2408 0.7281 0.7281  6 Mg 2.89-3.19
Pb 0.7281 0.2408 0.7281  6 Mg 2.89-3.19

no.,ρ (g cm⁻³)
1,5.1
2,9.5
3,4.3
4,5.5